[1]
Material: FeCoGe3
Method: DFT, SCAN
State: PBEsol geometry

## Properties
E_form = 0.6701 eV/atom
density = 6.4 Mg/m³

a = 4.4273 Å, b = 4.4273 Å, c = 4.4273 Å
α = 90.00°, β = 90.00°, γ = 90.00°
Space group Pm-3m (No. 221)
Inequivalent atoms, fractional coordinates:
Fe 0.0000 0.0000 0.0000
Co 0.5000 0.5000 0.5000
Ge 0.0000 0.5000 0.5000


[2]
Material: FeCoGeSb2
Method: DFT, SCAN
State: PBEsol geometry

## Properties
electronic total energy = -123.16 eV per cell
density = 6.2 Mg/m³

a = 5.1847 Å, b = 5.1847 Å, c = 4.3129 Å
α = 90.00°, β = 90.00°, γ = 90.00°
Space group P4/mmm (No. 123)
Inequivalent atoms, fractional coordinates:
Fe 0.0000 0.0000 0.0000
Co 0.5000 0.5000 0.0000
Ge 0.0000 0.0000 0.5000
Sb 0.0000 0.5000 0.5000


[3]
Material: FeCoH2
Method: DFT, SCAN
State: PBEsol geometry

## Properties
excess energy over the best structure of this formula in the dataset = 0 meV/atom
density = 7.2 Mg/m³

a = 3.7921 Å, b = 3.7921 Å, c = 7.5291 Å
α = 90.00°, β = 90.00°, γ = 90.00°
Space group I-42d (No. 122)
Inequivalent atoms, fractional coordinates:
Fe 0.0000 0.0000 0.0000
Co 0.0000 0.0000 0.5000
H 0.2390 0.2500 0.6250


[4]
Material: FeCoH2
Method: DFT, SCAN
State: PBEsol geometry

## Properties
excess energy over the best structure of this formula in the dataset = 369 meV/atom
density = 7.1 Mg/m³

a = 4.7762 Å, b = 4.7762 Å, c = 4.7762 Å
α = 90.00°, β = 90.00°, γ = 90.00°
Space group Fm-3m (No. 225)
Inequivalent atoms, fractional coordinates:
Fe 0.0000 0.0000 0.0000
Co 0.0000 0.0000 0.5000
H 0.2500 0.2500 0.2500